VASP calculation (PBE) on a geometry-optimized Y8Cd2Pt structure.

```
Y8Cd2Pt
1.0
9.002 -2.633 0.000
9.002 2.633 0.000
-2.063 0.000 6.606
Y Cd Pt
8 2 1
direct
0.021 0.021 0.281
0.203 0.203 0.807
0.346 0.346 0.537
0.410 0.410 0.065
0.590 0.590 0.935
0.654 0.654 0.463
0.797 0.797 0.193
0.979 0.979 0.719
0.184 0.184 0.222
0.816 0.816 0.778
0.500 0.500 0.500
```

Values from the calculation:
* VASP energy: -5.740 eV/atom
* symmetry: C2/m (12)
* formation energy: -324 meV per atom